## AcNdErAg (PBE)

Data for a geometry-optimized AcNdErAg structure.

Properties
Its size of the total moment is 0.001 μB per cell. The calculation puts the calculated total energy at -3.895 eV per atom. The density of states at the Fermi level comes out at 27.0 states/eV per cell. Its formation enthalpy at 0 K is 69 kJ/mol of formula units. As for the crystal system: cubic.

Cell: 7.9359 7.9359 7.9359 Å, 90.00 90.00 90.00°
Space group F-43m (No. 216)
Asymmetric unit:
Ac 0.0000 0.0000 0.0000 [4 per cell]
Nd 0.2500 0.2500 0.7500 [4 per cell]
Er 0.2500 0.2500 0.2500 [4 per cell]
Ag 0.0000 0.0000 0.5000 [4 per cell]